VASP calculation (GGA-PBE) on a relaxed structure of Tc2Rh5.

Properties
The volume comes out at 211 Å³/cell. As for the formation energy: 19 kJ/mol of atoms.

abc: 2.693 8.861 8.861
angles: 90.00 90.00 90.00
Positions (direct):
Tc 0.500 0.684 0.184
Tc 0.500 0.184 0.316
Tc 0.500 0.816 0.684
Tc 0.500 0.316 0.816
Rh 0.000 0.500 0.000
Rh 0.000 0.204 0.058
Rh 0.000 0.942 0.204
Rh 0.000 0.442 0.296
Rh 0.000 0.704 0.442
Rh 0.000 0.000 0.500
Rh 0.000 0.296 0.558
Rh 0.000 0.558 0.704
Rh 0.000 0.058 0.796
Rh 0.000 0.796 0.942

VASP calculation (GGA-PBE) on a relaxed structure of TeIr2Au.

Properties
Its energy relative to the elements, uncorrected is 0.55 eV/atom. As for the energy above the lowest structure with this stoichiometry: 0.255 eV/atom. The volume comes out at 71 Å³/cell.

abc: 4.468 3.007 5.417
angles: 76.90 90.00 90.00
Positions (direct):
Au 0.500 0.750 0.750
Ir 0.000 0.118 0.008
Ir 0.000 0.382 0.492
Te 0.500 0.250 0.250

VASP calculation (GGA-PBE) on a relaxed structure of YGa4Co2Ir.

Properties
The volume comes out at 127 Å³/cell. As for the formation energy: -39 kJ/mol of atoms.

abc: 4.106 4.106 9.001
angles: 76.81 76.81 60.00
Positions (direct):
Y 0.000 0.000 0.000
Ga 0.401 0.401 0.797
Ga 0.872 0.872 0.384
Ga 0.128 0.128 0.616
Ga 0.599 0.599 0.203
Co 0.766 0.766 0.702
Co 0.234 0.234 0.298
Ir 0.500 0.500 0.500

Ordered spin magnetization results: 0.000 0.000 0.000; unit μB/atom.
Ordered calculated total energy results: -0.294 -0.202 -0.206; unit Ha/atom.